Entry 1:
KNaTaO2: single point on PBEsol structure, SCAN.

The structure in CIF format:
```
data_KNaTaO2
_symmetry_space_group_name_H-M 'P 1'
_symmetry_Int_Tables_number 1
_cell_length_a 4.1949
_cell_length_b 4.6172
_cell_length_c 4.6172
_cell_angle_alpha 90.00
_cell_angle_beta 90.00
_cell_angle_gamma 90.00
loop_
_symmetry_equiv_pos_as_xyz
'x,y,z'
loop_
_atom_site_label
_atom_site_fract_x
_atom_site_fract_y
_atom_site_fract_z
Na1 0.5000 0.0000 0.0000
K1 0.0000 0.0000 0.0000
O1 0.0000 0.5000 0.0000
O2 0.0000 0.0000 0.5000
Ta1 0.5000 0.5000 0.5000
```

* SG: P4/mmm (123)
* magnetic moment: 2.7 μB per formula unit
* total DFT energy (no corrections): -17.2969 eV/atom

Entry 2:
K3NaTh2O6: single point on PBEsol structure, SCAN.

The structure in CIF format:
```
data_K3NaTh2O6
_symmetry_space_group_name_H-M 'P 1'
_symmetry_Int_Tables_number 1
_cell_length_a 6.2653
_cell_length_b 6.2701
_cell_length_c 12.5541
_cell_angle_alpha 85.22
_cell_angle_beta 80.40
_cell_angle_gamma 60.02
loop_
_symmetry_equiv_pos_as_xyz
'x,y,z'
loop_
_atom_site_label
_atom_site_fract_x
_atom_site_fract_y
_atom_site_fract_z
K1 0.5000 0.5000 0.0000
K2 0.0000 0.5000 0.5000
K3 0.8440 0.8441 0.9998
K4 0.6881 0.1559 0.4998
K5 0.3119 0.8441 0.5002
K6 0.1560 0.1559 0.0002
O1 0.5796 0.5372 0.6521
O2 0.3187 0.1677 0.6517
O3 0.7491 0.1999 0.1523
O4 0.4864 0.8323 0.1517
O5 0.0510 0.1999 0.3477
O6 0.9490 0.8001 0.6523
O7 0.8832 0.5372 0.8479
O8 0.2509 0.8001 0.8477
O9 0.6813 0.8323 0.3483
O10 0.4204 0.4628 0.3479
O11 0.1168 0.4628 0.1521
O12 0.5136 0.1677 0.8483
Th1 0.7500 0.4999 0.2500
Th2 0.4173 0.1653 0.2500
Th3 0.5827 0.8347 0.7500
Th4 0.2500 0.5001 0.7500
Na1 0.0842 0.8317 0.2500
Na2 0.9158 0.1683 0.7500
```

* SG: C2/c (15)
* magnetic moment: 0.0 μB per formula unit
* total DFT energy (no corrections): -24.3636 eV/atom